Compound: CsBa2OsO6
Source: Alexandria via LeMat-Bulk
Functional: PBE
Structure: optimized geometry

- final energy (eV per atom) = -6.3932
- Fermi-level density of states (states/eV per atom) = 0.6069

Unit cell a=6.693 b=6.688 c=6.302 alpha=57.83 beta=57.78 gamma=59.93
Each line ends with the local moment (μB).
Sites, in units of the cell vectors:
1 O 0.158 0.392 0.827  0.04
2 O 0.623 0.158 0.826  0.04
3 O 0.474 0.241 0.276  0.04
4 O 0.240 0.009 0.278  0.04
5 O 0.393 0.624 0.825  0.04
6 O 0.009 0.474 0.277  0.04
7 Ba 0.547 0.546 0.360  0.01
8 Ba 0.085 0.086 0.743  0.01
9 Os 0.316 0.316 0.052  0.65
10 Cs 0.816 0.816 0.551  0.01